[1]
{
  "formula": "Y4HoTm3",
  "functional": "GGA-PBE",
  "state": "optimized geometry",
  "de_polymorph_mev_per_atom": 219.4,
  "space_group": "Cmmm (65)",
  "formation_energy_ev_per_atom": 0.220,
  "cell": [[5.456, 0.000, -1.088], [-0.066, 3.540, -0.333], [-0.188, 1.251, 13.288]],
  "species": ["Y", "Y", "Y", "Y", "Tm", "Tm", "Tm", "Ho"],
  "frac_coords": [[0.277, 0.499, 0.555], [0.603, 0.500, 0.206], [0.397, 0.500, 0.794], [0.723, 0.501, 0.445], [0.156, 0.001, 0.312], [0.000, 0.500, 0.000], [0.844, 0.999, 0.688], [0.500, 0.000, 0.000]]
}



[2]
{
  "formula": "YHo3Tm6",
  "functional": "GGA-PBE",
  "state": "optimized geometry",
  "de_polymorph_mev_per_atom": 0.0,
  "space_group": "Cmc2_1 (36)",
  "formation_energy_ev_per_atom": 0.125,
  "cell": [[-5.088, -2.712, -2.537], [5.732, -9.800, -1.021], [-6.404, 4.049, 8.516]],
  "species": ["Y", "Y", "Tm", "Tm", "Tm", "Tm", "Tm", "Tm", "Tm", "Tm", "Tm", "Tm", "Tm", "Tm", "Ho", "Ho", "Ho", "Ho", "Ho", "Ho"],
  "frac_coords": [[0.015, 0.162, 0.838], [0.515, 0.838, 0.162], [0.316, 0.986, 0.014], [0.067, 0.743, 0.621], [0.830, 0.895, 0.457], [0.816, 0.014, 0.986], [0.830, 0.543, 0.105], [0.567, 0.621, 0.743], [0.330, 0.105, 0.543], [0.287, 0.698, 0.302], [0.330, 0.457, 0.895], [0.787, 0.302, 0.698], [0.567, 0.257, 0.379], [0.067, 0.379, 0.257], [0.989, 0.042, 0.297], [0.989, 0.703, 0.958], [0.595, 0.580, 0.420], [0.095, 0.420, 0.580], [0.489, 0.297, 0.042], [0.489, 0.958, 0.703]]
}



[3]
{
  "formula": "Y3HoTm8",
  "functional": "GGA-PBE",
  "state": "optimized geometry",
  "space_group": "I4/mmm (139)",
  "formation_energy_ev_per_atom": 0.756,
  "cell": [[1.836, -5.720, -4.688], [7.241, 0.410, 2.336], [-6.040, -2.363, 6.710]],
  "species": ["Tm", "Tm", "Tm", "Tm", "Tm", "Tm", "Tm", "Tm", "Ho", "Y", "Y", "Y"],
  "frac_coords": [[0.124, 0.627, 0.752], [0.627, 0.124, 0.752], [0.373, 0.373, 0.248], [0.876, 0.373, 0.248], [0.124, 0.124, 0.752], [0.373, 0.876, 0.248], [0.876, 0.876, 0.248], [0.627, 0.627, 0.752], [0.000, 0.000, 0.000], [0.750, 0.250, 0.500], [0.250, 0.750, 0.500], [0.500, 0.500, 0.000]]
}



[4]
{
  "formula": "YHo4Tm3",
  "functional": "GGA-PBE",
  "state": "optimized geometry",
  "de_polymorph_mev_per_atom": 0.0,
  "space_group": "Pmn2_1 (31)",
  "formation_energy_ev_per_atom": 0.000,
  "cell": [[-5.564, 2.675, -0.794], [-1.254, -0.510, 7.070], [4.598, 10.018, 1.538]],
  "species": ["Ho", "Ho", "Ho", "Ho", "Ho", "Ho", "Ho", "Ho", "Tm", "Tm", "Tm", "Tm", "Tm", "Tm", "Y", "Y"],
  "frac_coords": [[0.980, 0.125, 0.252], [0.149, 0.875, 0.500], [0.146, 0.874, 0.000], [0.649, 0.125, 0.000], [0.480, 0.875, 0.752], [0.980, 0.125, 0.748], [0.480, 0.875, 0.248], [0.646, 0.126, 0.500], [0.482, 0.375, 0.750], [0.482, 0.375, 0.250], [0.982, 0.625, 0.250], [0.648, 0.624, 0.000], [0.148, 0.376, 0.500], [0.982, 0.625, 0.750], [0.648, 0.625, 0.500], [0.148, 0.375, 0.000]]
}



[5]
{
  "formula": "Y12Ho6Tm",
  "functional": "GGA-PBE",
  "state": "optimized geometry",
  "de_polymorph_mev_per_atom": 108.1,
  "space_group": "R-3 (148)",
  "formation_energy_ev_per_atom": 0.260,
  "cell": [[-7.390, 2.626, -4.648], [6.754, -0.820, -6.068], [-1.726, -8.381, 3.144]],
  "species": ["Ho", "Ho", "Ho", "Ho", "Ho", "Ho", "Y", "Y", "Y", "Y", "Y", "Y", "Y", "Y", "Y", "Y", "Y", "Y", "Tm"],
  "frac_coords": [[0.185, 0.450, 0.078], [0.922, 0.815, 0.550], [0.078, 0.185, 0.450], [0.450, 0.078, 0.185], [0.550, 0.922, 0.815], [0.815, 0.550, 0.922], [0.484, 0.191, 0.579], [0.191, 0.579, 0.484], [0.421, 0.516, 0.809], [0.175, 0.718, 0.866], [0.718, 0.866, 0.175], [0.134, 0.825, 0.282], [0.516, 0.809, 0.421], [0.579, 0.484, 0.191], [0.866, 0.175, 0.718], [0.282, 0.134, 0.825], [0.825, 0.282, 0.134], [0.809, 0.421, 0.516], [0.000, 0.000, 0.000]]
}



[6]
{
  "formula": "YHo4Tm7",
  "functional": "GGA-PBE",
  "state": "optimized geometry",
  "de_polymorph_mev_per_atom": 0.0,
  "space_group": "P-1 (2)",
  "formation_energy_ev_per_atom": 0.092,
  "cell": [[-2.643, -5.871, -1.966], [-3.032, -6.687, 4.415], [-7.808, 3.724, 2.053]],
  "species": ["Ho", "Ho", "Ho", "Ho", "Tm", "Tm", "Tm", "Tm", "Tm", "Tm", "Tm", "Y"],
  "frac_coords": [[0.557, 0.638, 0.288], [0.219, 0.164, 0.311], [0.781, 0.836, 0.689], [0.443, 0.362, 0.712], [0.296, 0.812, 0.613], [0.977, 0.318, 0.643], [0.733, 0.516, 0.950], [0.023, 0.682, 0.357], [0.267, 0.484, 0.050], [0.704, 0.188, 0.387], [0.500, 0.000, 0.000], [0.000, 0.000, 0.000]]
}



[7]
{
  "formula": "Y2Ho8Tm",
  "functional": "GGA-PBE",
  "state": "optimized geometry",
  "de_polymorph_mev_per_atom": 0.0,
  "space_group": "C2/m (12)",
  "formation_energy_ev_per_atom": 0.160,
  "cell": [[5.585, 1.809, 0.000], [2.851, 8.565, 0.000], [1.425, 4.282, 8.217]],
  "species": ["Ho", "Ho", "Ho", "Ho", "Ho", "Ho", "Ho", "Ho", "Y", "Y", "Tm"],
  "frac_coords": [[0.288, 0.444, 0.000], [0.804, 0.098, 0.244], [0.500, 0.203, 0.594], [0.196, 0.902, 0.756], [0.500, 0.797, 0.406], [0.712, 0.556, 0.000], [0.804, 0.342, 0.756], [0.196, 0.658, 0.244], [0.000, 0.310, 0.381], [0.000, 0.690, 0.619], [0.500, 0.000, 0.000]]
}



[8]
{
  "formula": "Y4Ho2Tm",
  "functional": "GGA-PBE",
  "state": "optimized geometry",
  "de_polymorph_mev_per_atom": 105.7,
  "space_group": "P2_1/m (11)",
  "formation_energy_ev_per_atom": 0.141,
  "cell": [[-3.515, -3.464, -3.250], [3.410, -5.391, 2.058], [-5.242, 0.655, 10.400]],
  "species": ["Y", "Y", "Y", "Y", "Y", "Y", "Y", "Y", "Ho", "Ho", "Ho", "Ho", "Tm", "Tm"],
  "frac_coords": [[0.636, 0.498, 0.290], [0.364, 0.998, 0.710], [0.636, 0.002, 0.290], [0.160, 0.750, 0.427], [0.364, 0.502, 0.710], [0.013, 0.250, 0.153], [0.840, 0.250, 0.573], [0.987, 0.750, 0.847], [0.593, 0.750, 0.006], [0.730, 0.750, 0.561], [0.270, 0.250, 0.439], [0.407, 0.250, 0.994], [0.847, 0.250, 0.855], [0.153, 0.750, 0.145]]
}



[9]
{
  "formula": "YHoTm6",
  "functional": "GGA-PBE",
  "state": "optimized geometry",
  "de_polymorph_mev_per_atom": 11.3,
  "space_group": "C2/m (12)",
  "formation_energy_ev_per_atom": 0.226,
  "cell": [[-6.455, 0.104, 1.572], [4.112, -4.663, 2.345], [3.660, 8.339, 1.396]],
  "species": ["Tm", "Tm", "Tm", "Tm", "Tm", "Tm", "Ho", "Y"],
  "frac_coords": [[0.325, 0.799, 0.749], [0.247, 0.247, 0.750], [0.753, 0.753, 0.250], [0.675, 0.201, 0.251], [0.799, 0.325, 0.749], [0.201, 0.675, 0.251], [0.500, 0.500, 0.500], [0.000, 0.000, 0.000]]
}



[10]
{
  "formula": "YHo6Tm3",
  "functional": "GGA-PBE",
  "state": "optimized geometry",
  "de_polymorph_mev_per_atom": 30.9,
  "space_group": "Cmc2_1 (36)",
  "formation_energy_ev_per_atom": 0.157,
  "cell": [[-2.045, -0.779, -5.736], [9.131, -5.331, -2.531], [-8.587, -5.477, 3.805]],
  "species": ["Ho", "Ho", "Ho", "Ho", "Ho", "Ho", "Ho", "Ho", "Ho", "Ho", "Ho", "Ho", "Y", "Y", "Tm", "Tm", "Tm", "Tm", "Tm", "Tm"],
  "frac_coords": [[0.357, 0.536, 0.957], [0.034, 0.712, 0.619], [0.857, 0.464, 0.043], [0.857, 0.957, 0.536], [0.917, 0.046, 0.954], [0.146, 0.717, 0.283], [0.646, 0.283, 0.717], [0.357, 0.043, 0.464], [0.534, 0.288, 0.381], [0.417, 0.954, 0.046], [0.534, 0.619, 0.712], [0.034, 0.381, 0.288], [0.147, 0.206, 0.794], [0.647, 0.794, 0.206], [0.960, 0.720, 0.938], [0.074, 0.390, 0.610], [0.460, 0.938, 0.720], [0.460, 0.280, 0.062], [0.960, 0.062, 0.280], [0.574, 0.610, 0.390]]
}



[11]
{
  "formula": "Y4Ho2Tm5",
  "functional": "GGA-PBE",
  "state": "optimized geometry",
  "de_polymorph_mev_per_atom": 203.1,
  "space_group": "C2/m (12)",
  "formation_energy_ev_per_atom": 0.232,
  "cell": [[3.519, 0.000, 0.000], [0.000, 8.871, -0.033], [-1.760, -2.536, 11.435]],
  "species": ["Tm", "Tm", "Tm", "Tm", "Tm", "Ho", "Ho", "Y", "Y", "Y", "Y"],
  "frac_coords": [[0.819, 0.109, 0.637], [0.500, 0.000, 0.000], [0.762, 0.668, 0.523], [0.181, 0.891, 0.363], [0.238, 0.332, 0.477], [0.108, 0.181, 0.215], [0.892, 0.819, 0.785], [0.617, 0.516, 0.234], [0.383, 0.484, 0.766], [0.018, 0.693, 0.037], [0.982, 0.307, 0.963]]
}



[12]
{
  "formula": "Y2Ho5Tm2",
  "functional": "GGA-PBE",
  "state": "optimized geometry",
  "de_polymorph_mev_per_atom": 109.4,
  "space_group": "Ima2 (46)",
  "formation_energy_ev_per_atom": 0.228,
  "cell": [[11.603, 0.000, 0.000], [0.000, 6.691, 0.000], [-5.802, -3.346, 7.398]],
  "species": ["Ho", "Ho", "Ho", "Ho", "Ho", "Ho", "Ho", "Ho", "Ho", "Ho", "Y", "Y", "Y", "Y", "Tm", "Tm", "Tm", "Tm"],
  "frac_coords": [[0.207, 0.659, 0.895], [0.187, 0.159, 0.895], [0.813, 0.264, 0.105], [0.012, 0.152, 0.500], [0.988, 0.652, 0.500], [0.381, 0.031, 0.286], [0.404, 0.531, 0.286], [0.793, 0.764, 0.105], [0.619, 0.746, 0.714], [0.596, 0.246, 0.714], [0.880, 0.431, 0.746], [0.120, 0.686, 0.254], [0.635, 0.186, 0.254], [0.365, 0.931, 0.746], [0.000, 0.002, 0.000], [0.734, 0.864, 0.500], [0.266, 0.364, 0.500], [0.500, 0.502, 0.000]]
}



[13]
{
  "formula": "Y2HoTm4",
  "functional": "GGA-PBE",
  "state": "optimized geometry",
  "de_polymorph_mev_per_atom": 0.0,
  "space_group": "Cm (8)",
  "formation_energy_ev_per_atom": 0.002,
  "cell": [[3.576, 0.000, 0.000], [-1.788, 3.086, -0.262], [0.000, -0.391, 19.715]],
  "species": ["Tm", "Tm", "Tm", "Tm", "Ho", "Y", "Y"],
  "frac_coords": [[0.524, 0.048, 0.810], [0.429, 0.858, 0.526], [0.905, 0.809, 0.950], [0.000, 0.000, 0.237], [0.810, 0.619, 0.668], [0.619, 0.239, 0.094], [0.715, 0.429, 0.382]]
}



[14]
{
  "formula": "YHo4Tm",
  "functional": "GGA-PBE",
  "state": "optimized geometry",
  "de_polymorph_mev_per_atom": 226.5,
  "space_group": "F-43m (216)",
  "formation_energy_ev_per_atom": 0.248,
  "cell": [[6.516, 0.000, 0.000], [3.258, 5.643, 0.000], [3.258, 1.881, 5.321]],
  "species": ["Tm", "Ho", "Ho", "Ho", "Ho", "Y"],
  "frac_coords": [[0.000, 0.000, 0.000], [0.625, 0.625, 0.125], [0.125, 0.625, 0.625], [0.625, 0.125, 0.625], [0.625, 0.625, 0.625], [0.250, 0.250, 0.250]]
}



[15]
{
  "formula": "Y2Ho8Tm",
  "functional": "GGA-PBE",
  "state": "optimized geometry",
  "de_polymorph_mev_per_atom": 12.2,
  "space_group": "C2/m (12)",
  "formation_energy_ev_per_atom": 0.172,
  "cell": [[-5.602, -1.461, -3.160], [-0.160, -7.294, -6.990], [-2.715, -9.634, -1.379]],
  "species": ["Ho", "Ho", "Ho", "Ho", "Ho", "Ho", "Ho", "Ho", "Tm", "Y", "Y"],
  "frac_coords": [[0.226, 0.826, 0.349], [0.726, 0.589, 0.589], [0.827, 0.245, 0.245], [0.774, 0.174, 0.651], [0.274, 0.411, 0.411], [0.173, 0.755, 0.755], [0.774, 0.651, 0.174], [0.226, 0.349, 0.826], [0.000, 0.000, 0.000], [0.405, 0.200, 0.200], [0.595, 0.800, 0.800]]
}



[16]
{
  "formula": "Y2HoTm5",
  "functional": "GGA-PBE",
  "state": "optimized geometry",
  "de_polymorph_mev_per_atom": 30.4,
  "space_group": "I4mm (107)",
  "formation_energy_ev_per_atom": 0.029,
  "cell": [[-6.090, -1.987, 2.878], [3.482, -2.877, 5.380], [1.060, 6.738, -1.666]],
  "species": ["Y", "Y", "Tm", "Tm", "Tm", "Tm", "Tm", "Ho"],
  "frac_coords": [[0.222, 0.722, 0.444], [0.722, 0.222, 0.444], [0.722, 0.722, 0.944], [0.722, 0.222, 0.944], [0.222, 0.722, 0.944], [0.722, 0.722, 0.445], [0.222, 0.222, 0.944], [0.222, 0.222, 0.444]]
}



[17]
{
  "formula": "Y2HoTm",
  "functional": "GGA-PBE",
  "state": "optimized geometry",
  "de_polymorph_mev_per_atom": 26.7,
  "space_group": "P4/mmm (123)",
  "formation_energy_ev_per_atom": 0.028,
  "cell": [[-0.853, 4.570, -1.862], [-4.628, -0.087, 1.906], [1.707, 2.046, 4.238]],
  "species": ["Tm", "Ho", "Y", "Y"],
  "frac_coords": [[0.500, 0.000, 0.000], [0.500, 0.500, 0.500], [0.000, 0.000, 0.500], [0.000, 0.500, 0.000]]
}



[18]
{
  "formula": "YHo2Tm5",
  "functional": "GGA-PBE",
  "state": "optimized geometry",
  "de_polymorph_mev_per_atom": 0.0,
  "space_group": "Pbam (55)",
  "formation_energy_ev_per_atom": 0.024,
  "cell": [[-0.993, -0.729, -4.796], [6.543, -2.315, -1.002], [-4.190, -13.076, 2.854]],
  "species": ["Tm", "Tm", "Tm", "Tm", "Tm", "Tm", "Tm", "Tm", "Tm", "Tm", "Ho", "Ho", "Ho", "Ho", "Y", "Y"],
  "frac_coords": [[0.500, 0.249, 0.874], [0.000, 0.500, 0.500], [0.500, 0.251, 0.374], [0.000, 0.000, 0.000], [0.500, 0.749, 0.626], [0.000, 0.500, 0.749], [0.000, 0.000, 0.751], [0.000, 0.000, 0.249], [0.000, 0.500, 0.251], [0.500, 0.751, 0.126], [0.500, 0.249, 0.126], [0.500, 0.251, 0.626], [0.500, 0.749, 0.374], [0.500, 0.751, 0.874], [0.000, 0.000, 0.500], [0.000, 0.500, 0.000]]
}



[19]
{
  "formula": "Y4HoTm4",
  "functional": "GGA-PBE",
  "state": "optimized geometry",
  "space_group": "I4/mmm (139)",
  "formation_energy_ev_per_atom": 0.029,
  "cell": [[-1.769, -4.062, 2.279], [4.013, -1.031, 6.722], [-5.893, 2.191, 4.778]],
  "species": ["Ho", "Y", "Y", "Y", "Y", "Tm", "Tm", "Tm", "Tm"],
  "frac_coords": [[0.000, 0.000, 0.000], [0.333, 0.000, 0.334], [0.333, 0.334, 0.000], [0.667, 0.666, 0.000], [0.667, 0.000, 0.666], [0.665, 0.335, 0.335], [0.335, 0.665, 0.665], [0.000, 0.335, 0.665], [0.000, 0.665, 0.335]]
}



[20]
{
  "formula": "Y5HoTm4",
  "functional": "GGA-PBE",
  "state": "optimized geometry",
  "de_polymorph_mev_per_atom": 0.0,
  "space_group": "P1 (1)",
  "formation_energy_ev_per_atom": 0.053,
  "cell": [[6.543, 2.054, 1.434], [4.842, 7.168, 1.854], [-2.266, 1.406, 8.303]],
  "species": ["Y", "Y", "Y", "Y", "Y", "Tm", "Tm", "Tm", "Tm", "Ho"],
  "frac_coords": [[0.100, 0.201, 0.599], [0.437, 0.611, 0.780], [0.660, 0.389, 0.220], [0.302, 0.999, 0.001], [0.997, 0.800, 0.400], [0.501, 0.800, 0.399], [0.598, 0.199, 0.602], [0.940, 0.610, 0.780], [0.159, 0.390, 0.220], [0.797, 0.001, 0.999]]
}



Summary of raw total energy in eV/atom
-5.262 -4.577 -4.223 -4.774 -5.503 -4.581 -4.751 -5.499 -4.508 -4.578 -4.984 -4.746 -5.054 -4.627 -4.739 -4.954 -5.467 -4.723 -5.340 -5.426
(order as listed above)